Entry from OQMD via LeMat-Bulk: a geometry-optimized Na2HgOsS4 structure (PBE).

Lattice parameters (Å, degrees): 6.961 6.961 6.961 126.17 126.17 79.61
Element x y z (fractional)
Na: 0.000 0.000 0.000
Na: 0.750 0.250 0.500
Hg: 0.250 0.750 0.500
Os: 0.500 0.500 0.000
S: 0.187 0.605 0.016
S: 0.395 0.411 0.582
S: 0.589 0.171 0.984
S: 0.829 0.813 0.418

E, eV per formula unit: -33.70
ρ, kg/m3: 4417
Crystal system: tetragonal